No. 1
Cu2TcBiO6 after structural relaxation, computed with PBE-GGA.

The value obtained for the electronic total energy is -6.20 eV/atom. As for the space group: C2/c (15). As for the total magnetization: 0.00 μB per formula unit. The calculation puts the formation energy (no corrections) at -0.978 eV/atom.

Cell lengths 7.389, 7.389, 6.825 Å; angles 111.24, 111.24, 83.15 degrees
Fractional positions:
Cu 0.162 0.185 0.154
Cu 0.185 0.162 0.654
Cu 0.815 0.838 0.346
Cu 0.838 0.815 0.846
Tc 0.347 0.653 0.250
Tc 0.653 0.347 0.750
Bi 0.233 0.767 0.750
Bi 0.767 0.233 0.250
O 0.072 0.242 0.402
O 0.151 0.674 0.010
O 0.242 0.072 0.902
O 0.326 0.849 0.490
O 0.331 0.436 0.292
O 0.436 0.331 0.792
O 0.564 0.669 0.208
O 0.669 0.564 0.708
O 0.674 0.151 0.510
O 0.758 0.928 0.098
O 0.849 0.326 0.990
O 0.928 0.758 0.598


No. 2
LiBi2 after structural relaxation, computed with PBE-GGA.

The value obtained for the electronic total energy is -3.18 eV/atom. As for the space group: Fd-3m (227). As for the total magnetization: 0.00 μB per formula unit. Its formation energy is 1.0 kcal/mol of atoms. The energy above the most stable polymorph in this dataset is 214.5 meV/atom.

Cell lengths 6.612, 6.612, 6.612 Å; angles 60.00, 60.00, 60.00 degrees
Fractional positions:
Li 0.125 0.125 0.125
Li 0.875 0.875 0.875
Bi 0.000 0.500 0.500
Bi 0.500 0.000 0.500
Bi 0.500 0.500 0.000
Bi 0.500 0.500 0.500